1.
Material: PrPuAlAu
Method: DFT, PBE
State: relaxed

calculated formation energy: -0.290 eV/atom
symmetry: F-43m
density of states at the Fermi level: 2.833 states/eV/atom
calculated density: 9.9 g/cm³
raw total energy: -6.8233 eV per atom
spin magnetization: 5.93 μB per formula unit

```
4
Lattice="5.2485 0.0000 0.0000 2.6242 4.5453 0.0000 2.6242 1.5151 4.2854" Properties=species:S:1:pos:R:3 pbc="T T T"
Pu 2.6242 1.5151 1.0713
Pr 7.8727 4.5453 3.2140
Al 5.2485 3.0302 2.1427
Au 0.0000 0.0000 0.0000
```

2.
Material: Pr2Al4RhAu3
Method: DFT, PBE
State: relaxed

calculated formation energy: -0.767 eV/atom
symmetry: P-4m2
density of states at the Fermi level: 0.622 states/eV/atom
calculated density: 8.9 g/cm³
raw total energy: -4.9381 eV per atom
spin magnetization: 0.00 μB per formula unit

```
10
Lattice="4.3722 0.0000 0.0000 0.0000 4.3722 0.0000 0.0000 0.0000 10.5626" Properties=species:S:1:pos:R:3 pbc="T T T"
Al 2.1861 0.0000 6.5839
Al 0.0000 2.1861 3.9788
Al 2.1861 2.1861 0.0000
Pr 0.0000 2.1861 7.8829
Au 0.0000 2.1861 1.4270
Au 0.0000 0.0000 5.2813
Au 2.1861 0.0000 9.1357
Al 0.0000 0.0000 0.0000
Rh 2.1861 2.1861 5.2813
Pr 2.1861 0.0000 2.6797
```

3.
Material: Pr2Al4RuAu3
Method: DFT, PBE
State: relaxed

calculated formation energy: -0.682 eV/atom
symmetry: P-4m2
density of states at the Fermi level: 0.583 states/eV/atom
calculated density: 8.9 g/cm³
raw total energy: -5.0455 eV per atom
spin magnetization: 0.00 μB per formula unit

```
10
Lattice="-4.1968 0.9507 -0.5611 -0.8073 -1.1388 4.1089 1.8526 10.0349 3.1452" Properties=species:S:1:pos:R:3 pbc="T T T"
Au -0.4972 9.1486 2.4379
Al -2.5021 -0.0941 1.7739
Au -0.1523 0.7923 2.4813
Al 0.2926 3.2018 3.2365
Al -0.9420 6.7391 1.6827
Pr 0.9744 6.8954 4.3942
Au 0.9263 5.0174 1.5726
Ru -1.5758 4.9234 3.3465
Al 0.0000 0.0000 0.0000
Pr -1.6239 3.0455 0.5250
```

4.
Material: PrScAlAu
Method: DFT, PBE
State: relaxed

calculated formation energy: -0.474 eV/atom
symmetry: F-43m
density of states at the Fermi level: 1.032 states/eV/atom
calculated density: 7.2 g/cm³
raw total energy: -5.0067 eV per atom
spin magnetization: 0.00 μB per formula unit

```
4
Lattice="5.1063 0.0000 0.0000 2.5532 4.4222 0.0000 2.5532 1.4741 4.1693" Properties=species:S:1:pos:R:3 pbc="T T T"
Au 2.5532 1.4741 1.0423
Al 7.6595 4.4222 3.1270
Sc 0.0000 0.0000 0.0000
Pr 5.1063 2.9481 2.0846
```